The following is a PBE-GGA calculation of PmScTe2 after structural relaxation, from Alexandria.

Summary:
Energy above the most stable polymorph in this dataset ... 0 meV per atom
DOS at the Fermi energy ... 4.33 states/eV/cell
Crystal system ... trigonal

Unit cell a=4.198 b=4.198 c=22.372 alpha=90.00 beta=90.00 gamma=120.00
Element x y z (fractional)
Pm 0.000 0.000 0.000
Pm 0.333 0.667 0.667
Pm 0.667 0.333 0.333
Sc 0.000 0.000 0.173
Sc 0.333 0.667 0.840
Sc 0.667 0.333 0.507
Te 0.000 0.000 0.578
Te 0.000 0.000 0.761
Te 0.333 0.667 0.244
Te 0.333 0.667 0.427
Te 0.667 0.333 0.094
Te 0.667 0.333 0.911



The following is a PBE-GGA calculation of PmSc5Te8 after structural relaxation, from Alexandria.

Summary:
DOS at the Fermi energy ... 11.16 states/eV/cell
Crystal system ... cubic

Unit cell a=8.746 b=8.746 c=8.746 alpha=60.00 beta=60.00 gamma=60.00
Element x y z (fractional)
Pm 0.000 0.000 0.000
Sc 0.136 0.621 0.621
Sc 0.250 0.250 0.250
Sc 0.621 0.136 0.621
Sc 0.621 0.621 0.136
Sc 0.621 0.621 0.621
Te 0.381 0.381 0.381
Te 0.381 0.381 0.856
Te 0.381 0.856 0.381
Te 0.418 0.861 0.861
Te 0.856 0.381 0.381
Te 0.861 0.418 0.861
Te 0.861 0.861 0.418
Te 0.861 0.861 0.861



The following is a PBE-GGA calculation of Pm2ScTe4 after structural relaxation, from Alexandria.

Summary:
Energy above the most stable polymorph in this dataset ... 84 meV per atom
DOS at the Fermi energy ... 6.41 states/eV/cell
Crystal system ... orthorhombic

Unit cell a=7.604 b=7.604 c=15.048 alpha=90.00 beta=90.00 gamma=148.02
Element x y z (fractional)
Pm 0.132 0.868 0.575
Pm 0.132 0.868 0.925
Pm 0.868 0.132 0.075
Pm 0.868 0.132 0.425
Sc 0.367 0.633 0.750
Sc 0.633 0.367 0.250
Te 0.014 0.986 0.750
Te 0.215 0.785 0.127
Te 0.215 0.785 0.373
Te 0.500 0.500 0.000
Te 0.500 0.500 0.500
Te 0.785 0.215 0.627
Te 0.785 0.215 0.873
Te 0.986 0.014 0.250



The following is a PBE-GGA calculation of PmScTe2 after structural relaxation, from Alexandria.

Summary:
Energy above the most stable polymorph in this dataset ... 201 meV per atom
DOS at the Fermi energy ... 6.80 states/eV/cell
Crystal system ... cubic

Unit cell a=7.531 b=7.531 c=7.531 alpha=90.00 beta=90.00 gamma=90.00
Element x y z (fractional)
Pm 0.000 0.000 0.000
Pm 0.000 0.500 0.500
Pm 0.500 0.000 0.500
Pm 0.500 0.500 0.000
Sc 0.000 0.000 0.500
Sc 0.000 0.500 0.000
Sc 0.500 0.000 0.000
Sc 0.500 0.500 0.500
Te 0.250 0.250 0.250
Te 0.250 0.250 0.750
Te 0.250 0.750 0.250
Te 0.250 0.750 0.750
Te 0.750 0.250 0.250
Te 0.750 0.250 0.750
Te 0.750 0.750 0.250
Te 0.750 0.750 0.750



The following is a PBE-GGA calculation of PmSc5Te6 after structural relaxation, from Alexandria.

Summary:
DOS at the Fermi energy ... 7.00 states/eV/cell
Crystal system ... monoclinic

Unit cell a=7.306 b=7.306 c=7.293 alpha=99.53 beta=99.53 gamma=120.00
Element x y z (fractional)
Pm 0.000 0.000 0.000
Sc 0.148 0.852 0.500
Sc 0.332 0.668 0.000
Sc 0.500 0.500 0.500
Sc 0.668 0.332 0.000
Sc 0.852 0.148 0.500
Te 0.087 0.439 0.264
Te 0.270 0.270 0.754
Te 0.439 0.087 0.264
Te 0.561 0.913 0.736
Te 0.730 0.730 0.246
Te 0.913 0.561 0.736



The following is a PBE-GGA calculation of Pm2ScTe4 after structural relaxation, from Alexandria.

Summary:
Energy above the most stable polymorph in this dataset ... 0 meV per atom
DOS at the Fermi energy ... 7.15 states/eV/cell
Crystal system ... monoclinic

Unit cell a=16.009 b=4.347 c=7.712 alpha=90.00 beta=118.53 gamma=90.00
Element x y z (fractional)
Pm 0.240 0.000 0.229
Pm 0.260 0.500 0.771
Pm 0.740 0.500 0.229
Pm 0.760 0.000 0.771
Sc 0.000 0.500 0.500
Sc 0.500 0.000 0.500
Te 0.112 0.500 0.931
Te 0.120 0.000 0.464
Te 0.380 0.500 0.536
Te 0.388 0.000 0.069
Te 0.612 0.000 0.931
Te 0.620 0.500 0.464
Te 0.880 0.000 0.536
Te 0.888 0.500 0.069



The following is a PBE-GGA calculation of PmScTe2 after structural relaxation, from Alexandria.

Summary:
Energy above the most stable polymorph in this dataset ... 193 meV per atom
DOS at the Fermi energy ... 2.51 states/eV/cell
Crystal system ... tetragonal

Unit cell a=5.313 b=5.313 c=3.773 alpha=90.00 beta=90.00 gamma=90.00
Element x y z (fractional)
Pm 0.000 0.000 0.000
Sc 0.500 0.500 0.000
Te 0.000 0.500 0.500
Te 0.500 0.000 0.500



The following is a PBE-GGA calculation of PmTh2ScTe4 after structural relaxation, from Alexandria.

Summary:
DOS at the Fermi energy ... 7.62 states/eV/cell
Crystal system ... monoclinic

Unit cell a=7.302 b=4.234 c=8.138 alpha=90.00 beta=107.58 gamma=90.00
Element x y z (fractional)
Pm 0.000 0.000 0.000
Th 0.000 0.500 0.500
Th 0.500 0.000 0.500
Sc 0.500 0.500 0.000
Te 0.257 0.500 0.237
Te 0.268 0.000 0.770
Te 0.732 0.000 0.230
Te 0.743 0.500 0.763



The following is a PBE-GGA calculation of Pm2ScTl3Te6 after structural relaxation, from Alexandria.

Summary:
Crystal system ... monoclinic

Unit cell a=7.712 b=7.712 c=8.557 alpha=98.66 beta=98.66 gamma=119.95
Element x y z (fractional)
Pm 0.166 0.834 0.000
Pm 0.834 0.166 0.000
Sc 0.500 0.500 0.000
Tl 0.000 0.000 0.500
Tl 0.328 0.672 0.500
Tl 0.672 0.328 0.500
Te 0.114 0.430 0.788
Te 0.256 0.256 0.217
Te 0.430 0.114 0.788
Te 0.570 0.886 0.212
Te 0.744 0.744 0.783
Te 0.886 0.570 0.212



The following is a PBE-GGA calculation of Pm3ScTl4Te8 after structural relaxation, from Alexandria.

Summary:
DOS at the Fermi energy ... 0.01 states/eV/cell
Crystal system ... trigonal

Unit cell a=9.667 b=9.667 c=9.667 alpha=55.19 beta=55.19 gamma=55.19
Element x y z (fractional)
Pm 0.000 0.500 0.500
Pm 0.500 0.000 0.500
Pm 0.500 0.500 0.000
Sc 0.000 0.000 0.000
Tl 0.000 0.000 0.500
Tl 0.000 0.500 0.000
Tl 0.500 0.000 0.000
Tl 0.500 0.500 0.500
Te 0.230 0.230 0.753
Te 0.230 0.753 0.230
Te 0.247 0.770 0.770
Te 0.259 0.259 0.259
Te 0.741 0.741 0.741
Te 0.753 0.230 0.230
Te 0.770 0.247 0.770
Te 0.770 0.770 0.247



The following is a PBE-GGA calculation of PmScTl2Te4 after structural relaxation, from Alexandria.

Summary:
DOS at the Fermi energy ... 0.15 states/eV/cell
Crystal system ... monoclinic

Unit cell a=7.645 b=4.406 c=8.537 alpha=90.00 beta=107.24 gamma=90.00
Element x y z (fractional)
Pm 0.000 0.000 0.000
Sc 0.500 0.500 0.000
Tl 0.000 0.500 0.500
Tl 0.500 0.000 0.500
Te 0.254 0.500 0.215
Te 0.280 0.000 0.794
Te 0.720 0.000 0.206
Te 0.746 0.500 0.785



The following is a PBE-GGA calculation of Pm2Tm3ScTe6 after structural relaxation, from Alexandria.

Summary:
DOS at the Fermi energy ... 7.29 states/eV/cell
Crystal system ... monoclinic

Unit cell a=9.732 b=9.732 c=8.734 alpha=103.21 beta=103.21 gamma=25.54
Element x y z (fractional)
Pm 0.170 0.170 0.336
Pm 0.830 0.830 0.664
Tm 0.176 0.176 0.838
Tm 0.500 0.500 0.500
Tm 0.824 0.824 0.162
Sc 0.500 0.500 0.000
Te 0.005 0.005 0.758
Te 0.339 0.339 0.409
Te 0.340 0.340 0.930
Te 0.660 0.660 0.070
Te 0.661 0.661 0.591
Te 0.995 0.995 0.242



Energy relative to the elements, uncorrected / eV/atom: -1.29, -1.10, -1.26, -1.09, -1.15, -1.35, -1.09, -1.11, -1.02, -1.03, -0.99, -1.24